Below is an optimized crystal structure of MgCu2Si, with properties calculated at the PBE-GGA level.

Cell lengths 3.1649, 3.1649, 5.6646 Å; angles 90.00, 90.00, 90.00 degrees
Atoms (fractional coordinates):
Mg 0.0000 0.0000 0.0000
Cu 0.5000 0.5000 0.2737
Cu 0.5000 0.5000 0.7263
Si 0.0000 0.0000 0.5000

Output
Symmetry ... P4/mmm, No. 123
ρ ... 5.25 g cm⁻³
Size of the total moment ... 0.00 μB per cell
ΔE_f (raw) ... -0.0044 eV per atom